Entry 1:
VASP calculation (PBE) on an optimized crystal structure of Zr3HPb.

Output
The energy above the most stable polymorph in this dataset comes out at 1 meV per atom. The calculation puts the density of states at the Fermi level at 5.5 states/eV/f.u. The total energy comes out at -68.336 eV per cell. The symmetry is C222_1, No. 20. As for the total moment: 0.00 μB per formula unit.

```
Zr3HPb
1.0
3.4403 -5.2584 0.0000
3.4403 5.2584 0.0000
0.0000 0.0000 5.2013
Zr H Pb
6 2 2
Direct
0.1360 0.8640 0.7500 Zr
0.1697 0.3727 0.7527 Zr
0.3727 0.1697 0.2473 Zr
0.6273 0.8303 0.7473 Zr
0.8303 0.6273 0.2527 Zr
0.8640 0.1360 0.2500 Zr
0.1077 0.1077 0.5000 H
0.8923 0.8923 0.0000 H
0.3329 0.6671 0.2500 Pb
0.6671 0.3329 0.7500 Pb
```

=====

Entry 2:
VASP calculation (PBE) on an optimized crystal structure of Zr6HPb2.

Output
The energy above the most stable polymorph in this dataset comes out at 0 meV per atom. The calculation puts the density of states at the Fermi level at 9.9 states/eV/f.u. The total energy comes out at -64.139 eV per cell. The symmetry is I4/mmm, No. 139. As for the total moment: 0.00 μB per formula unit.

```
Zr6HPb2
1.0
-3.1466 3.1466 4.6638
3.1466 -3.1466 4.6638
3.1466 3.1466 -4.6638
Zr H Pb
6 1 2
Direct
0.2480 0.2480 0.4961 Zr
0.2480 0.7520 0.0000 Zr
0.2499 0.2499 0.0000 Zr
0.7501 0.7501 0.0000 Zr
0.7520 0.2480 0.0000 Zr
0.7520 0.7520 0.5039 Zr
0.5000 0.5000 0.0000 H
0.2500 0.7500 0.5000 Pb
0.7500 0.2500 0.5000 Pb
```

=====

Entry 3:
VASP calculation (PBE) on an optimized crystal structure of Zr3HPb.

Output
The energy above the most stable polymorph in this dataset comes out at 212 meV per atom. The calculation puts the density of states at the Fermi level at 4.5 states/eV/f.u. The total energy comes out at -66.230 eV per cell. The symmetry is Cmcm, No. 63. As for the total moment: 0.00 μB per formula unit.

```
Zr3HPb
1.0
2.9661 -5.2912 0.0000
2.9661 5.2912 0.0000
0.0000 0.0000 6.3281
Zr H Pb
6 2 2
Direct
0.0000 0.0000 0.0000 Zr
0.0000 0.0000 0.5000 Zr
0.0194 0.4830 0.7500 Zr
0.4830 0.0194 0.2500 Zr
0.5170 0.9806 0.7500 Zr
0.9806 0.5170 0.2500 Zr
0.1262 0.8738 0.7500 H
0.8738 0.1262 0.2500 H
0.4763 0.5237 0.2500 Pb
0.5237 0.4763 0.7500 Pb
```

=====

Entry 4:
VASP calculation (PBE) on an optimized crystal structure of Zr2H2Pb.

Output
The energy above the most stable polymorph in this dataset comes out at 0 meV per atom. The calculation puts the density of states at the Fermi level at 1.7 states/eV/f.u. The total energy comes out at -58.729 eV per cell. The symmetry is I4/mmm, No. 139. As for the total moment: 0.00 μB per formula unit.

```
Zr2H2Pb
1.0
3.8785 0.0000 0.0000
0.0000 3.8785 0.0000
0.0000 0.0000 9.8617
Zr H Pb
4 4 2
Direct
0.0000 0.0000 0.1679 Zr
0.0000 0.0000 0.8321 Zr
0.5000 0.5000 0.3321 Zr
0.5000 0.5000 0.6679 Zr
0.0000 0.5000 0.2500 H
0.0000 0.5000 0.7500 H
0.5000 0.0000 0.2500 H
0.5000 0.0000 0.7500 H
0.0000 0.0000 0.5000 Pb
0.5000 0.5000 0.0000 Pb
```

=====

Entry 5:
VASP calculation (PBE) on an optimized crystal structure of Zr3HPb.

Output
The energy above the most stable polymorph in this dataset comes out at 129 meV per atom. The calculation puts the density of states at the Fermi level at 3.4 states/eV/f.u. The total energy comes out at -67.053 eV per cell. The symmetry is Cmmm, No. 65. As for the total moment: 0.00 μB per formula unit.

```
Zr3HPb
1.0
4.8145 -6.1678 0.0000
4.8145 6.1678 0.0000
0.0000 0.0000 3.2597
Zr H Pb
6 2 2
Direct
0.1542 0.4144 0.5000 Zr
0.2297 0.7703 0.0000 Zr
0.4144 0.1542 0.5000 Zr
0.5856 0.8458 0.5000 Zr
0.7703 0.2297 0.0000 Zr
0.8458 0.5856 0.5000 Zr
0.0000 0.5000 0.0000 H
0.5000 0.0000 0.0000 H
0.0000 0.0000 0.5000 Pb
0.5000 0.5000 0.0000 Pb
```

=====

Entry 6:
VASP calculation (PBE) on an optimized crystal structure of H4Pd3.

Output
The energy above the most stable polymorph in this dataset comes out at 74 meV per atom. The calculation puts the density of states at the Fermi level at 1.2 states/eV/f.u. The total energy comes out at -28.811 eV per cell. The symmetry is P4mm, No. 99. As for the total moment: 0.00 μB per formula unit.

```
H4Pd3
1.0
2.9630 0.0000 0.0000
0.0000 2.9630 0.0000
0.0000 0.0000 6.9980
H Pd
4 3
Direct
0.0000 0.5000 0.0000 H
0.0000 0.5000 0.4141 H
0.5000 0.0000 0.0000 H
0.5000 0.0000 0.4141 H
0.0000 0.0000 0.2489 Pd
0.0000 0.0000 0.8573 Pd
0.5000 0.5000 0.5692 Pd
```

=====

Entry 7:
VASP calculation (PBE) on an optimized crystal structure of HPd3.

Output
The energy above the most stable polymorph in this dataset comes out at 489 meV per atom. The calculation puts the density of states at the Fermi level at 5.6 states/eV/f.u. The total energy comes out at -33.948 eV per cell. The symmetry is P6_3/mmc, No. 194. As for the total moment: 0.00 μB per formula unit.

```
HPd3
1.0
5.5410 0.0000 0.0000
-2.7705 4.7987 0.0000
0.0000 0.0000 4.0685
H Pd
2 6
Direct
0.3333 0.6667 0.2500 H
0.6667 0.3333 0.7500 H
0.1743 0.3485 0.7500 Pd
0.1743 0.8257 0.7500 Pd
0.3485 0.1743 0.2500 Pd
0.6515 0.8257 0.7500 Pd
0.8257 0.1743 0.2500 Pd
0.8257 0.6515 0.2500 Pd
```

=====

Entry 8:
VASP calculation (PBE) on an optimized crystal structure of HPd6.

Output
The calculation puts the density of states at the Fermi level at 14.2 states/eV/f.u. The total energy comes out at -138.139 eV per cell. The symmetry is Pnma, No. 62. As for the total moment: 1.63 μB per formula unit.

```
HPd6
1.0
9.2515 0.0000 0.0000
0.0000 8.4439 0.0000
0.0000 0.0000 4.8683
H Pd
4 24
Direct
0.1379 0.2500 0.0736 H
0.3621 0.7500 0.5736 H
0.6379 0.2500 0.4264 H
0.8621 0.7500 0.9264 H
0.0010 0.5826 0.7474 Pd
0.0010 0.9174 0.7474 Pd
0.0021 0.7500 0.2492 Pd
0.2504 0.0817 0.9139 Pd
0.2497 0.2500 0.4178 Pd
0.2504 0.4183 0.9139 Pd
0.2496 0.5817 0.4139 Pd
0.2503 0.7500 0.9178 Pd
0.2496 0.9183 0.4139 Pd
0.4979 0.2500 0.7492 Pd
0.4990 0.0826 0.2474 Pd
0.4990 0.4174 0.2474 Pd
0.5010 0.5826 0.7526 Pd
0.5010 0.9174 0.7526 Pd
0.5021 0.7500 0.2508 Pd
0.7504 0.0817 0.5861 Pd
0.7497 0.2500 0.0822 Pd
0.7504 0.4183 0.5861 Pd
0.7496 0.5817 0.0861 Pd
0.7503 0.7500 0.5822 Pd
0.7496 0.9183 0.0861 Pd
0.9979 0.2500 0.7508 Pd
0.9990 0.0826 0.2526 Pd
0.9990 0.4174 0.2526 Pd
```